A plane-wave DFT calculation with PBE+U was carried out for a relaxed structure of Ga2CoF2.

The structure in CIF format:
```
data_Ga2CoF2
_chemical_formula_sum 'Ga4 Co2 F4'
_cell_length_a 7.072
_cell_length_b 7.072
_cell_length_c 3.749
_cell_angle_alpha 90.00
_cell_angle_beta 90.00
_cell_angle_gamma 90.00
_symmetry_space_group_name_H-M 'P 4/m b m'
_symmetry_Int_Tables_number 127
_symmetry_space_group_name_Hall '-P 4 2ab'
loop_
_atom_site_label
_atom_site_type_symbol
_atom_site_fract_x
_atom_site_fract_y
_atom_site_fract_z
Ga1 Ga 0.233 0.267 0.000
Co1 Co 0.000 0.000 0.000
F1 F 0.142 0.358 0.500
```

Calculated values
The total DFT energy (no corrections) comes out at -38.338 eV for the cell shown.